(1)
KNiCl2 SCAN single point on PBEsol structure; space-group type = No. 123; energy = -10.884 eV per atom; ΔE_f (raw) = -0.7693 eV per atom; relative energy among the computed polymorphs = 0.000 eV/atom
1.0
3.311 0.000 0.000
0.000 4.847 0.000
0.000 0.000 4.843
K Ni Cl
1 1 2
direct
0.500 0.500 0.000
0.500 0.000 0.500
0.000 0.500 0.500
0.000 0.000 0.000

***

(2)
Y2ZrHg SCAN single point on PBEsol structure; space-group type = No. 8; energy = -38.905 eV per atom; calculated formation energy = -1.07 eV per formula unit
1.0
3.402 0.000 0.000
0.000 5.463 0.067
-1.701 -2.462 5.389
Y Zr Hg
2 1 1
direct
0.759 0.297 0.518
0.972 0.921 0.944
0.530 0.468 0.060
0.239 0.813 0.478

***

(3)
Ac SCAN single point on PBEsol structure; space-group type = No. 225; energy = -90.457 eV per atom; calculated formation energy = 0.02 eV per formula unit; relative energy among the computed polymorphs = 0.018 eV/atom
1.0
3.907 0.000 0.000
1.953 3.384 0.000
1.953 1.128 3.190
Ac
1
direct
0.000 0.000 0.000

***

(4)
KZr3Ni SCAN single point on PBEsol structure; space-group type = No. 221; energy = -22.755 eV per atom; calculated formation energy = 2.83 eV per formula unit
1.0
-1.550 3.158 3.539
-4.654 -0.293 -1.777
-0.917 -3.853 3.036
Zr K Ni
3 1 1
direct
0.000 0.500 0.000
0.500 0.000 0.000
0.000 0.000 0.500
0.500 0.500 0.500
0.000 0.000 0.000

***

(5)
BeReP SCAN single point on PBEsol structure; space-group type = No. 156; energy = -28.490 eV per atom; calculated formation energy = 0.38 eV per formula unit; relative energy among the computed polymorphs = 0.577 eV/atom
1.0
2.981 0.000 0.000
0.000 3.882 0.000
0.000 -1.941 3.362
P Be Re
1 1 1
direct
0.507 0.333 0.667
0.994 0.000 0.000
0.499 0.667 0.333

***

(6)
CaZn2MoSe SCAN single point on PBEsol structure; space-group type = No. 123; energy = -17.706 eV per atom; ΔE_f (raw) = 0.6251 eV per atom
1.0
4.659 0.000 0.000
0.000 4.885 0.000
0.000 0.000 4.885
Ca Zn Mo Se
1 2 1 1
direct
0.500 0.500 0.500
0.000 0.000 0.500
0.000 0.500 0.000
0.500 0.000 0.000
0.000 0.000 0.000

***

(7)
FeMoO4 SCAN single point on PBEsol structure; space-group type = No. 12; energy = -14.916 eV per atom; ΔE_f (raw) = -1.9265 eV per atom
1.0
6.490 0.018 0.026
0.584 6.464 0.026
2.279 2.088 6.991
O Mo Fe
16 4 4
direct
0.646 0.342 0.743
0.316 0.995 0.425
0.995 0.316 0.425
0.684 0.005 0.575
0.354 0.658 0.257
0.996 0.685 0.081
0.349 0.349 0.583
0.658 0.354 0.257
0.685 0.996 0.081
0.342 0.646 0.743
0.004 0.315 0.919
0.345 0.345 0.067
0.005 0.684 0.575
0.315 0.004 0.919
0.651 0.651 0.417
0.655 0.655 0.933
0.286 0.286 0.860
0.287 0.713 0.500
0.714 0.714 0.140
0.713 0.287 0.500
0.696 0.304 0.000
0.304 0.696 0.000
0.304 0.304 0.344
0.696 0.696 0.656

***

(8)
TaMnIn2 SCAN single point on PBEsol structure; space-group type = No. 139; energy = -37.748 eV per atom; calculated formation energy = 0.62 eV per formula unit; relative energy among the computed polymorphs = 0.000 eV/atom
1.0
4.077 0.000 0.000
0.000 4.077 0.000
-2.039 -2.039 4.327
Mn In Ta
1 2 1
direct
0.500 0.500 0.000
0.250 0.750 0.500
0.750 0.250 0.500
0.000 0.000 0.000

***

(9)
Fe SCAN single point on PBEsol structure; space-group type = No. 225; energy = -17.772 eV per atom; calculated formation energy = 0.36 eV per formula unit; relative energy among the computed polymorphs = 0.358 eV/atom
1.0
2.405 0.000 0.000
-1.203 2.079 0.079
0.000 1.315 2.014
Fe
1
direct
0.000 0.000 0.000

***

(10)
NaSr3As SCAN single point on PBEsol structure; space-group type = No. 221; energy = -18.821 eV per atom; calculated formation energy = -2.87 eV per formula unit
1.0
-2.852 5.239 1.039
-1.358 -1.850 5.603
5.165 2.406 2.046
As Sr Na
1 3 1
direct
0.000 0.000 0.000
0.000 0.500 0.000
0.500 0.000 0.000
0.000 0.000 0.500
0.500 0.500 0.500

***

(11)
LiYRu2 SCAN single point on PBEsol structure; space-group type = No. 99; energy = -24.798 eV per atom; calculated formation energy = 0.69 eV per formula unit; relative energy among the computed polymorphs = 0.023 eV/atom
1.0
-3.117 -0.580 0.463
0.244 -2.687 -1.727
1.385 -3.250 5.252
Li Ru Y
1 2 1
direct
0.500 0.500 0.802
0.500 0.500 0.209
0.000 0.000 0.998
0.000 0.000 0.491

***

(12)
CsGa3Os SCAN single point on PBEsol structure; space-group type = No. 221; energy = -32.021 eV per atom; calculated formation energy = -1.38 eV per formula unit
1.0
4.896 0.000 0.000
0.000 4.896 0.000
0.000 0.000 4.896
Ga Cs Os
3 1 1
direct
0.500 0.000 0.000
0.000 0.500 0.000
0.000 0.000 0.500
0.500 0.500 0.500
0.000 0.000 0.000

***

(13)
La4Sb2Pb SCAN single point on PBEsol structure; space-group type = No. 122; energy = -47.252 eV per atom; ΔE_f (raw) = -1.1489 eV per atom
1.0
8.330 -0.001 0.000
-2.750 7.863 0.000
-2.790 -3.931 6.794
Sb La Pb
4 8 2
direct
0.625 0.249 0.124
0.751 0.875 0.376
0.125 0.501 0.876
0.499 0.375 0.624
0.732 0.127 0.747
0.870 0.623 0.105
0.518 0.765 0.895
0.015 0.268 0.395
0.380 0.985 0.253
0.235 0.130 0.753
0.873 0.620 0.605
0.377 0.482 0.247
0.250 0.750 0.500
0.000 0.000 0.000

***

(14)
CsCdSeN2 SCAN single point on PBEsol structure; space-group type = No. 123; energy = -19.297 eV per atom; ΔE_f (raw) = 2.0806 eV per atom
1.0
4.279 0.000 0.000
0.000 4.279 0.000
0.000 0.000 6.919
Cs Cd N Se
1 1 2 1
direct
0.000 0.000 0.000
0.500 0.500 0.500
0.500 0.000 0.000
0.000 0.500 0.000
0.000 0.000 0.500

***

(15)
TaReW2 SCAN single point on PBEsol structure; space-group type = No. 71; energy = -69.450 eV per atom; calculated formation energy = -0.74 eV per formula unit; relative energy among the computed polymorphs = 0.017 eV/atom
1.0
3.159 0.000 0.000
0.000 4.448 0.000
-1.580 -2.224 4.500
Ta W Re
1 2 1
direct
0.500 0.000 0.000
0.252 0.252 0.504
0.748 0.748 0.496
0.000 0.500 0.000

***

(16)
KGeC3 SCAN single point on PBEsol structure; space-group type = No. 221; energy = -9.074 eV per atom; calculated formation energy = 12.35 eV per formula unit
1.0
4.075 0.000 0.000
0.000 4.075 0.000
0.000 0.000 4.075
C K Ge
3 1 1
direct
0.000 0.000 0.500
0.000 0.500 0.000
0.500 0.000 0.000
0.500 0.500 0.500
0.000 0.000 0.000

***

(17)
AlBiBr3 SCAN single point on PBEsol structure; space-group type = No. 221; energy = -29.045 eV per atom; ΔE_f (raw) = -0.1030 eV per atom
1.0
5.764 0.000 0.000
0.000 5.764 0.000
0.000 0.000 5.764
Br Bi Al
3 1 1
direct
0.000 0.000 0.500
0.500 0.000 0.000
0.000 0.500 0.000
0.000 0.000 0.000
0.500 0.500 0.500

***

(18)
Cs3MgAs SCAN single point on PBEsol structure; space-group type = No. 221; energy = -27.208 eV per atom; calculated formation energy = 2.56 eV per formula unit
1.0
-1.095 2.496 -6.226
-4.413 -5.019 -1.236
-5.052 3.844 2.429
Cs Mg As
3 1 1
direct
0.000 0.000 0.500
0.000 0.500 0.000
0.500 0.000 0.000
0.000 0.000 0.000
0.500 0.500 0.500

***

(19)
FeWS3 SCAN single point on PBEsol structure; space-group type = No. 221; energy = -22.387 eV per atom; ΔE_f (raw) = 0.9535 eV per atom
1.0
-1.237 -2.121 -3.490
-3.022 -1.977 2.273
-2.747 3.130 -0.929
S Fe W
3 1 1
direct
0.000 0.500 0.000
0.500 0.000 0.000
0.000 0.000 0.500
0.000 0.000 0.000
0.500 0.500 0.500

***

(20)
BeNb3H SCAN single point on PBEsol structure; space-group type = No. 221; energy = -21.443 eV per atom
1.0
-2.232 1.832 2.837
-0.806 -3.592 1.686
3.280 0.365 2.345
Nb Be H
3 1 1
direct
0.000 0.000 0.500
0.500 0.000 0.000
0.000 0.500 0.000
0.500 0.500 0.500
0.000 0.000 0.000

***

(21)
TcPOsO2 SCAN single point on PBEsol structure; space-group type = No. 123; energy = -25.997 eV per atom; ΔE_f (raw) = -0.0370 eV per atom
1.0
3.605 0.000 0.000
0.000 3.605 0.000
0.000 0.000 5.467
O P Os Tc
2 1 1 1
direct
0.500 0.000 0.000
0.000 0.500 0.000
0.000 0.000 0.500
0.500 0.500 0.500
0.000 0.000 0.000

***

(22)
KW6O18 SCAN single point on PBEsol structure; space-group type = No. 191; energy = -23.804 eV per atom; ΔE_f (raw) = -2.2594 eV per atom
1.0
7.411 0.000 0.000
-3.706 6.418 0.000
0.000 0.000 7.616
O W K
18 6 1
direct
0.426 0.213 0.748
0.500 0.000 0.000
0.787 0.213 0.748
0.426 0.213 0.252
0.213 0.787 0.748
0.787 0.574 0.252
0.787 0.213 0.252
0.500 0.000 0.500
0.000 0.500 0.000
0.213 0.426 0.748
0.213 0.426 0.252
0.500 0.500 0.500
0.213 0.787 0.252
0.000 0.500 0.500
0.500 0.500 0.000
0.574 0.787 0.748
0.787 0.574 0.748
0.574 0.787 0.252
0.000 0.500 0.750
0.500 0.500 0.250
0.000 0.500 0.250
0.500 0.000 0.750
0.500 0.000 0.250
0.500 0.500 0.750
0.000 0.000 0.500

***

(23)
FeOsPt2 SCAN single point on PBEsol structure; space-group type = No. 166; energy = -57.609 eV per atom; calculated formation energy = -0.04 eV per formula unit; relative energy among the computed polymorphs = 0.093 eV/atom
1.0
-1.963 0.003 1.875
-2.079 -1.733 -0.209
3.103 -6.480 5.224
Pt Os Fe
2 1 1
direct
0.752 0.752 0.743
0.248 0.248 0.257
0.000 0.000 0.000
0.500 0.500 0.500

***

(24)
ReH2Rh SCAN single point on PBEsol structure; space-group type = No. 122; energy = -27.654 eV per atom; relative energy among the computed polymorphs = 0.000 eV/atom
1.0
4.110 0.000 0.000
0.000 4.110 0.000
-2.055 -2.055 4.069
H Re Rh
4 2 2
direct
0.625 0.610 0.750
0.860 0.375 0.250
0.390 0.875 0.250
0.125 0.140 0.750
0.000 0.000 0.000
0.250 0.750 0.500
0.500 0.500 0.000
0.750 0.250 0.500

***

(25)
ZnSiIr2 SCAN single point on PBEsol structure; space-group type = No. 122; energy = -41.472 eV per atom; ΔE_f (raw) = -0.0393 eV per atom
1.0
5.262 0.000 0.000
2.631 4.771 0.000
2.631 0.000 4.771
Ir Zn Si
4 2 2
direct
0.375 0.453 0.047
0.875 0.547 0.953
0.172 0.953 0.453
0.578 0.047 0.547
0.000 0.000 0.000
0.750 0.500 0.500
0.500 0.000 0.000
0.250 0.500 0.500

***

(26)
KRbSi3 SCAN single point on PBEsol structure; space-group type = No. 221; energy = -10.129 eV per atom; ΔE_f (raw) = 1.6945 eV per atom
1.0
5.578 0.000 0.000
0.000 5.578 0.000
0.000 0.000 5.578
Si K Rb
3 1 1
direct
0.000 0.000 0.500
0.000 0.500 0.000
0.500 0.000 0.000
0.000 0.000 0.000
0.500 0.500 0.500

***

(27)
Ni3HRh SCAN single point on PBEsol structure; space-group type = No. 221; energy = -17.069 eV per atom; relative energy among the computed polymorphs = 0.000 eV/atom
1.0
-3.320 -0.336 1.357
-1.311 -0.467 -3.323
0.486 -3.556 0.308
Rh Ni H
1 3 1
direct
0.500 0.500 0.500
0.000 0.000 0.500
0.000 0.500 0.000
0.500 0.000 0.000
0.000 0.000 0.000